Entry 1:
ScInAg2O4 | PBE | optimized geometry

Calculated values
As for the total magnetic moment: 0.0 Bohr magnetons per cell. The uncorrected energy is -5.972 eV/atom.

Cell lengths 3.2315, 3.2315, 12.6211 Å; angles 90.00, 90.00, 120.00 degrees
Last column: nearest neighbours and their distance in Å.
Sites, in units of the cell vectors:
Sc: 0.0000 0.0000 0.0000  6 O 2.12
In: 0.0000 0.0000 0.5000  6 O 2.17
Ag: 0.3333 0.6667 0.2454  2 O 2.08-2.10
Ag: 0.6667 0.3333 0.7546  2 O 2.08-2.10
O: 0.3333 0.6667 0.0805  1 Ag 2.08, 3 Sc 2.12
O: 0.3333 0.6667 0.4114  1 Ag 2.10, 3 In 2.17
O: 0.6667 0.3333 0.5886  1 Ag 2.10, 3 In 2.17
O: 0.6667 0.3333 0.9195  1 Ag 2.08, 3 Sc 2.12



Entry 2:
NaSi2Au2 | PBE | optimized geometry

Calculated values
The uncorrected energy is -3.786 eV/atom.

Cell lengths 4.3284, 4.3284, 10.7617 Å; angles 90.00, 90.00, 90.00 degrees
Last column: nearest neighbours and their distance in Å.
Sites, in units of the cell vectors:
Na: 0.0000 0.0000 0.0000  8 Au 3.37, 8 Si 3.45
Na: 0.5000 0.5000 0.5000  8 Au 3.37, 8 Si 3.45
Si: 0.0000 0.5000 0.2500  4 Au 2.51
Si: 0.0000 0.5000 0.7500  4 Au 2.51
Si: 0.5000 0.0000 0.2500  4 Au 2.51
Si: 0.5000 0.0000 0.7500  4 Au 2.51
Au: 0.0000 0.0000 0.3687  4 Si 2.51
Au: 0.0000 0.0000 0.6313  4 Si 2.51
Au: 0.5000 0.5000 0.1313  4 Si 2.51
Au: 0.5000 0.5000 0.8687  4 Si 2.51



Entry 3:
HfMgBi2Pt2 | PBE | optimized geometry

Calculated values
As for the total magnetic moment: 0.0 Bohr magnetons per cell. The uncorrected energy is -5.928 eV/atom.

Cell lengths 7.9872, 7.9872, 7.9872 Å; angles 131.88, 131.88, 70.43 degrees
Last column: nearest neighbours and their distance in Å.
Sites, in units of the cell vectors:
Hf: 0.0000 0.0000 0.0000  4 Pt 2.76
Hf: 0.7500 0.2500 0.5000  4 Pt 2.76
Mg: 0.2500 0.7500 0.5000  4 Pt 2.89, 2 Bi 3.17
Mg: 0.5000 0.5000 0.0000  4 Pt 2.89, 2 Bi 3.17
Bi: 0.0067 0.5067 0.5000  4 Pt 2.81-2.84
Bi: 0.2567 0.2567 0.0000  4 Pt 2.81-2.84
Bi: 0.4933 0.9933 0.5000  4 Pt 2.81-2.84
Bi: 0.7433 0.7433 0.0000  4 Pt 2.81-2.84
Pt: 0.1067 0.1250 0.4817  2 Hf 2.76, 4 Bi 2.81-2.84, 2 Mg 2.89
Pt: 0.3750 0.8933 0.0183  2 Hf 2.76, 4 Bi 2.81-2.84, 2 Mg 2.89
Pt: 0.6433 0.6250 0.5183  2 Hf 2.76, 4 Bi 2.81-2.84, 2 Mg 2.89
Pt: 0.8750 0.3567 0.9817  2 Hf 2.76, 4 Bi 2.81-2.84, 2 Mg 2.89



Entry 4:
LaHoZn4 | PBE | optimized geometry

Calculated values
As for the total magnetic moment: 0.0 Bohr magnetons per cell. The uncorrected energy is -2.794 eV/atom.

Cell lengths 4.5382, 7.2495, 7.6161 Å; angles 90.00, 90.00, 90.00 degrees
Last column: nearest neighbours and their distance in Å.
Sites, in units of the cell vectors:
La: 0.0000 0.0000 0.0000  12 Zn 3.11-3.29
La: 0.5000 0.5000 0.5000  12 Zn 3.11-3.29
Ho: 0.0000 0.5000 0.9406  12 Zn 3.05-3.30
Ho: 0.5000 0.0000 0.4406  12 Zn 3.05-3.30
Zn: 0.0000 0.2007 0.6279  4 Zn 2.61-2.91
Zn: 0.0000 0.2947 0.2964  3 Zn 2.61-2.62
Zn: 0.0000 0.7053 0.2964  3 Zn 2.61-2.62
Zn: 0.0000 0.7993 0.6279  4 Zn 2.61-2.91
Zn: 0.5000 0.2053 0.7964  3 Zn 2.61-2.62
Zn: 0.5000 0.2993 0.1279  4 Zn 2.61-2.91
Zn: 0.5000 0.7007 0.1279  4 Zn 2.61-2.91
Zn: 0.5000 0.7947 0.7964  3 Zn 2.61-2.62



Entry 5:
SrMg2TlHg | PBE | optimized geometry

Calculated values
The uncorrected energy is -1.778 eV/atom.

Cell lengths 4.5958, 4.5958, 12.9885 Å; angles 90.00, 90.00, 90.00 degrees
Last column: nearest neighbours and their distance in Å.
Sites, in units of the cell vectors:
Sr: 0.0000 0.0000 0.0000  4 Tl 3.56, 4 Hg 3.57, 4 Mg 3.93
Sr: 0.5000 0.5000 0.5000  4 Tl 3.56, 4 Hg 3.57, 4 Mg 3.93
Mg: 0.0000 0.5000 0.2450  2 Hg 2.86, 2 Tl 2.95
Mg: 0.0000 0.5000 0.7450  2 Hg 2.86, 2 Tl 2.95
Mg: 0.5000 0.0000 0.2450  2 Hg 2.86, 2 Tl 2.95
Mg: 0.5000 0.0000 0.7450  2 Hg 2.86, 2 Tl 2.95
Tl: 0.0000 0.0000 0.3875  1 Hg 2.95, 4 Mg 2.95
Tl: 0.5000 0.5000 0.8875  1 Hg 2.95, 4 Mg 2.95
Hg: 0.0000 0.0000 0.6145  4 Mg 2.86, 1 Tl 2.95
Hg: 0.5000 0.5000 0.1145  4 Mg 2.86, 1 Tl 2.95



Entry 6:
TmHfIn | PBE | optimized geometry

Calculated values
As for the total magnetic moment: 0.1 Bohr magnetons per cell. The uncorrected energy is -5.162 eV/atom.

Cell lengths 7.0586, 7.0586, 7.0586 Å; angles 90.00, 90.00, 90.00 degrees
Last column: nearest neighbours and their distance in Å.
Sites, in units of the cell vectors:
Tm: 0.0000 0.0000 0.0000  4 Hf 3.06
Tm: 0.0000 0.5000 0.5000  4 Hf 3.06
Tm: 0.5000 0.0000 0.5000  4 Hf 3.06
Tm: 0.5000 0.5000 0.0000  4 Hf 3.06
Hf: 0.2500 0.2500 0.7500  4 In 3.06, 4 Tm 3.06
Hf: 0.2500 0.7500 0.2500  4 In 3.06, 4 Tm 3.06
Hf: 0.7500 0.2500 0.2500  4 In 3.06, 4 Tm 3.06
Hf: 0.7500 0.7500 0.7500  4 In 3.06, 4 Tm 3.06
In: 0.0000 0.0000 0.5000  4 Hf 3.06
In: 0.0000 0.5000 0.0000  4 Hf 3.06
In: 0.5000 0.0000 0.0000  4 Hf 3.06
In: 0.5000 0.5000 0.5000  4 Hf 3.06